1.
Sm3Y8Th2 | GGA-PBE | optimized geometry

```
Sm3Y8Th2
1.0
-5.223 1.377 2.023
-2.006 -7.146 -0.316
4.389 2.187 9.842
Sm Y Th
3 8 2
Direct
0.000 0.721 0.000
0.000 0.279 0.000
0.500 0.000 0.000
0.000 0.860 0.719
0.500 0.174 0.780
0.001 0.329 0.657
0.500 0.607 0.780
0.000 0.140 0.281
0.999 0.671 0.343
0.500 0.826 0.220
0.500 0.393 0.220
0.499 0.755 0.510
0.501 0.245 0.490
```

Relative energy among the computed polymorphs: 0.1990 eV/atom
Formation energy: 0.279 eV/atom
VASP energy: -77.09 eV/cell
Symmetry: P-1
Size of the total moment: 0.0 μB/f.u.

2.
TbZnInRh | GGA-PBE | optimized geometry

```
TbZnInRh
1.0
4.789 0.000 0.000
2.395 4.148 0.000
2.395 1.383 3.910
Tb Zn In Rh
1 1 1 1
Direct
0.750 0.750 0.750
0.000 0.000 0.000
0.250 0.250 0.250
0.500 0.500 0.500
```

Formation energy: -0.470 eV/atom
VASP energy: -17.87 eV/cell
Symmetry: F-43m
Size of the total moment: 0.0 μB/f.u.

3.
Ni2OsAuN | GGA-PBE | optimized geometry

```
Ni2OsAuN
1.0
3.967 0.000 0.000
0.000 3.967 0.000
0.000 0.000 3.899
Ni Au N Os
2 1 1 1
Direct
0.000 0.500 0.000
0.500 0.000 0.000
0.500 0.500 0.500
0.000 0.000 0.000
0.000 0.000 0.500
```

VASP energy: -33.14 eV/cell
Symmetry: P4/mmm
Raw formation energy: 121 kJ/mol of formula units
Size of the total moment: 0.0 μB/f.u.

4.
Pa2TiRe | GGA-PBE | optimized geometry

```
Pa2TiRe
1.0
3.361 0.000 0.000
0.000 4.986 0.000
0.000 0.000 4.986
Pa Ti Re
2 1 1
Direct
0.000 0.500 0.000
0.000 0.000 0.500
0.500 0.500 0.500
0.500 0.000 0.000
```

Relative energy among the computed polymorphs: 0.0000 eV/atom
Formation energy: 0.152 eV/atom
VASP energy: -38.73 eV/cell
Symmetry: P4/mmm
Size of the total moment: 0.6 μB/f.u.

5.
Cr4Co3 | GGA-PBE | optimized geometry

```
Cr4Co3
1.0
-1.436 1.436 9.704
1.436 -1.436 9.704
1.436 1.436 -9.704
Cr Co
4 3
Direct
0.142 0.142 0.000
0.858 0.858 0.000
0.425 0.425 0.000
0.575 0.575 0.000
0.714 0.714 0.000
0.286 0.286 0.000
0.000 0.000 0.000
```

Formation energy: 0.168 eV/atom
VASP energy: -58.63 eV/cell
Symmetry: I4/mmm
Size of the total moment: 5.8 μB/f.u.

6.
CeSiMo | GGA-PBE | optimized geometry

```
CeSiMo
1.0
3.862 0.000 0.000
0.000 4.310 0.000
0.000 -2.155 3.733
Mo Si Ce
1 1 1
Direct
0.167 0.333 0.667
0.167 0.000 0.000
0.667 0.667 0.333
```

VASP energy: -22.79 eV/cell
Symmetry: P-6m2
Raw formation energy: -58 kJ/mol of formula units
Size of the total moment: 0.0 μB/f.u.